Entry 1:
The following is a DFT calculation (GGA-PBE) of a relaxed structure of CrReIr4.

Properties
- relative energy among the computed polymorphs (meV/atom) = 264
- symmetry = F-43m
- calculated volume (Å³ per atom) = 15.7
- formation enthalpy at 0 K (eV/atom) = 0.51

a = 5.103 Å, b = 5.103 Å, c = 5.103 Å
α = 60.00°, β = 60.00°, γ = 60.00°
Each line ends with the local moment (μB).
Fractional coordinates of all 6 atoms:
Cr (0.000, 0.000, 0.000)  3.00
Ir (0.625, 0.625, 0.125)  0.04
Ir (0.625, 0.625, 0.625)  0.04
Ir (0.625, 0.125, 0.625)  0.04
Ir (0.125, 0.625, 0.625)  0.04
Re (0.250, 0.250, 0.250)  -0.30

=====

Entry 2:
The following is a DFT calculation (GGA-PBE) of a relaxed structure of CrReSiIr.

Properties
- symmetry = F-43m
- calculated volume (Å³ per atom) = 13.4
- raw formation energy (eV/atom) = -0.26

a = 4.235 Å, b = 4.235 Å, c = 4.235 Å
α = 60.00°, β = 60.00°, γ = 60.00°
Each line ends with the local moment (μB).
Fractional coordinates of all 4 atoms:
Cr (0.750, 0.750, 0.750)  2.12
Re (0.500, 0.500, 0.500)  -0.28
Ir (0.000, 0.000, 0.000)  0.07
Si (0.250, 0.250, 0.250)  0.02

=====

Entry 3:
The following is a DFT calculation (GGA-PBE) of a relaxed structure of CrReTcIr2.

Properties
- symmetry = P4/mmm
- calculated volume (Å³ per atom) = 21.0
- formation enthalpy at 0 K (eV/atom) = 1.68

a = 4.755 Å, b = 4.638 Å, c = 4.755 Å
α = 90.00°, β = 90.00°, γ = 90.00°
Each line ends with the local moment (μB).
Fractional coordinates of all 5 atoms:
Cr (0.500, 0.500, 0.500)  3.85
Tc (0.000, 0.500, 0.000)  -1.04
Ir (0.500, 0.000, 0.000)  -0.08
Ir (0.000, 0.000, 0.500)  -0.10
Re (0.000, 0.000, 0.000)  0.13

=====

Entry 4:
The following is a DFT calculation (GGA-PBE) of a relaxed structure of TiCrReIr.

Properties
- symmetry = F-43m
- calculated volume (Å³ per atom) = 14.4
- formation enthalpy at 0 K (eV/atom) = -0.30

a = 4.335 Å, b = 4.335 Å, c = 4.335 Å
α = 60.00°, β = 60.00°, γ = 60.00°
Each line ends with the local moment (μB).
Fractional coordinates of all 4 atoms:
Ti (0.750, 0.750, 0.750)  0.00
Cr (0.250, 0.250, 0.250)  2.04
Re (0.000, 0.000, 0.000)  -0.37
Ir (0.500, 0.500, 0.500)  0.24

=====

Entry 5:
The following is a DFT calculation (GGA-PBE) of a relaxed structure of Cr2IrRh4.

Properties
- relative energy among the computed polymorphs (meV/atom) = 0
- symmetry = I4/mmm
- calculated volume (Å³ per atom) = 14.1
- formation enthalpy at 0 K (eV/atom) = 0.24

a = 5.134 Å, b = 5.134 Å, c = 5.134 Å
α = 102.55°, β = 102.55°, γ = 124.42°
Each line ends with the local moment (μB).
Fractional coordinates of all 7 atoms:
Cr (0.750, 0.250, 0.500)  0.90
Cr (0.250, 0.750, 0.500)  0.90
Rh (0.199, 0.199, 0.398)  -0.04
Rh (0.801, 0.199, 0.000)  -0.04
Rh (0.801, 0.801, 0.602)  -0.04
Rh (0.199, 0.801, 0.000)  -0.04
Ir (0.500, 0.500, 0.000)  0.06

=====

Entry 6:
The following is a DFT calculation (GGA-PBE) of a relaxed structure of CrIrRh2.

Properties
- symmetry = Cmmm
- calculated volume (Å³ per atom) = 13.9
- formation enthalpy at 0 K (eV/atom) = -0.09

a = 4.649 Å, b = 4.649 Å, c = 2.725 Å
α = 90.00°, β = 90.00°, γ = 109.29°
Each line ends with the local moment (μB).
Fractional coordinates of all 4 atoms:
Ir (0.000, 0.500, 0.500)  -0.11
Cr (0.500, 0.000, 0.500)  2.02
Rh (0.000, 0.000, 0.000)  -0.16
Rh (0.500, 0.500, 0.000)  -0.16

=====

Entry 7:
The following is a DFT calculation (GGA-PBE) of a relaxed structure of CrIrRh2.

Properties
- symmetry = Cm
- calculated volume (Å³ per atom) = 13.8
- formation enthalpy at 0 K (eV/atom) = -0.07

a = 4.678 Å, b = 4.678 Å, c = 4.651 Å
α = 79.76°, β = 79.76°, γ = 33.64°
Each line ends with the local moment (μB).
Fractional coordinates of all 4 atoms:
Rh (0.999, 0.999, 0.003)  -0.12
Rh (0.755, 0.755, 0.744)  -0.04
Ir (0.245, 0.245, 0.255)  -0.09
Cr (0.501, 0.501, 0.498)  1.70

=====

Entry 8:
The following is a DFT calculation (GGA-PBE) of a relaxed structure of Cr4IrRh3.

Properties
- symmetry = Pmmm
- calculated volume (Å³ per atom) = 14.0
- formation enthalpy at 0 K (eV/atom) = 0.05

a = 2.949 Å, b = 4.353 Å, c = 8.708 Å
α = 90.00°, β = 90.00°, γ = 90.00°
Each line ends with the local moment (μB).
Fractional coordinates of all 8 atoms:
Rh (0.500, 0.500, 0.500)  0.40
Rh (0.500, 0.000, 0.750)  0.41
Rh (0.500, 0.000, 0.250)  0.41
Cr (0.000, 0.000, 0.500)  2.62
Cr (0.000, 0.500, 0.750)  2.60
Cr (0.000, 0.000, 0.000)  2.58
Cr (0.000, 0.500, 0.250)  2.60
Ir (0.500, 0.500, 0.000)  0.15

=====

Entry 9:
The following is a DFT calculation (GGA-PBE) of a relaxed structure of Cr3IrRh5.

Properties
- symmetry = P4/mbm
- calculated volume (Å³ per atom) = 14.3
- formation enthalpy at 0 K (eV/atom) = 0.31

a = 7.754 Å, b = 5.769 Å, c = 5.769 Å
α = 90.00°, β = 90.00°, γ = 90.00°
Each line ends with the local moment (μB).
Fractional coordinates of all 18 atoms:
Rh (0.775, 0.740, 0.760)  -0.21
Rh (0.775, 0.260, 0.240)  -0.21
Rh (0.775, 0.240, 0.740)  -0.21
Rh (0.225, 0.740, 0.760)  -0.21
Rh (0.775, 0.760, 0.260)  -0.21
Rh (0.225, 0.760, 0.260)  -0.21
Rh (0.225, 0.240, 0.740)  -0.21
Rh (0.500, 0.000, 0.000)  -0.05
Rh (0.225, 0.260, 0.240)  -0.21
Rh (0.500, 0.500, 0.500)  -0.05
Cr (0.000, 0.000, 0.000)  1.96
Cr (0.500, 0.385, 0.885)  -0.12
Cr (0.000, 0.500, 0.500)  1.96
Cr (0.500, 0.615, 0.115)  -0.12
Cr (0.500, 0.885, 0.615)  -0.12
Cr (0.500, 0.115, 0.385)  -0.12
Ir (0.000, 0.500, 0.000)  -0.49
Ir (0.000, 0.000, 0.500)  -0.49

=====

Entry 10:
The following is a DFT calculation (GGA-PBE) of a relaxed structure of Cr2Ir6Rh.

Properties
- symmetry = C2/m
- calculated volume (Å³ per atom) = 14.0
- formation enthalpy at 0 K (eV/atom) = -0.10

a = 2.715 Å, b = 6.001 Å, c = 8.140 Å
α = 102.92°, β = 90.00°, γ = 103.07°
Each line ends with the local moment (μB).
Fractional coordinates of all 9 atoms:
Ir (0.996, 0.993, 0.671)  -0.06
Ir (0.670, 0.340, 0.888)  -0.06
Ir (0.004, 0.007, 0.329)  -0.06
Ir (0.330, 0.660, 0.112)  -0.06
Ir (0.670, 0.341, 0.558)  -0.06
Ir (0.330, 0.659, 0.442)  -0.06
Rh (0.000, 0.000, 0.000)  -0.07
Cr (0.332, 0.665, 0.776)  0.99
Cr (0.668, 0.335, 0.224)  0.99

=====

Entry 11:
The following is a DFT calculation (GGA-PBE) of a relaxed structure of Cr2IrRh2.

Properties
- relative energy among the computed polymorphs (meV/atom) = 0
- symmetry = Imma
- calculated volume (Å³ per atom) = 13.7
- formation enthalpy at 0 K (eV/atom) = -0.01

a = 4.232 Å, b = 5.366 Å, c = 6.952 Å
α = 112.70°, β = 107.72°, γ = 90.00°
Fractional coordinates of all 10 atoms:
Cr (0.809, 0.302, 0.118)
Cr (0.191, 0.183, 0.882)
Cr (0.191, 0.698, 0.882)
Cr (0.809, 0.817, 0.118)
Rh (0.369, 0.619, 0.237)
Rh (0.631, 0.381, 0.763)
Rh (0.000, 0.750, 0.500)
Rh (0.000, 0.250, 0.500)
Ir (0.369, 0.119, 0.237)
Ir (0.631, 0.881, 0.763)

=====

Entry 12:
The following is a DFT calculation (GGA-PBE) of a relaxed structure of CrIr4Rh7.

Properties
- symmetry = P-3m1
- calculated volume (Å³ per atom) = 14.7
- formation enthalpy at 0 K (eV/atom) = 0.29

a = 4.360 Å, b = 4.360 Å, c = 10.684 Å
α = 90.00°, β = 90.00°, γ = 120.00°
Each line ends with the local moment (μB).
Fractional coordinates of all 12 atoms:
Rh (0.000, 0.000, 0.000)  -0.06
Rh (0.333, 0.667, 0.184)  -0.08
Rh (0.000, 0.000, 0.732)  0.00
Rh (0.000, 0.000, 0.268)  0.00
Rh (0.667, 0.333, 0.816)  -0.08
Rh (0.333, 0.667, 0.441)  -0.16
Rh (0.667, 0.333, 0.559)  -0.16
Ir (0.667, 0.333, 0.311)  -0.11
Ir (0.667, 0.333, 0.063)  -0.03
Ir (0.333, 0.667, 0.689)  -0.11
Ir (0.333, 0.667, 0.937)  -0.03
Cr (0.000, 0.000, 0.500)  2.13

=====

Number 1: spin magnetization 3.1 μB/f.u.. Number 2: spin magnetization 2.0 μB/f.u.. Number 3: spin magnetization 3.1 μB/f.u.. Number 4: spin magnetization 2.0 μB/f.u.. Number 5: spin magnetization 1.8 μB/f.u.. Number 6: spin magnetization 1.7 μB/f.u.. Number 7: spin magnetization 1.6 μB/f.u.. Number 8: spin magnetization 12.4 μB/f.u.. Number 9: spin magnetization 0.5 μB/f.u.. Number 10: spin magnetization 1.7 μB/f.u.. Number 11: spin magnetization 0.0 μB/f.u.. Number 12: spin magnetization 1.4 μB/f.u..